{
  "formula": "LiSi2Pt5",
  "functional": "PBE-GGA",
  "state": "relaxed",
  "magnetic_moment_mub_per_atom": 0.000,
  "raw_formation_energy_ev_per_atom": -0.632,
  "e_tot_ev_per_atom": -6.003,
  "lattice_angstrom": [[-3.5796, 0.8918, -0.7470], [-3.4818, -5.2442, 0.9411], [-3.1328, 0.0092, 5.5404]],
  "species": ["Li", "Si", "Si", "Pt", "Pt", "Pt", "Pt", "Pt"],
  "frac_coords": [[0.0000, 0.0000, 0.0000], [0.7566, 0.7434, 0.7434], [0.2434, 0.2566, 0.2566], [0.0000, 0.5000, 0.5000], [0.6464, 0.5599, 0.1473], [0.3536, 0.4401, 0.8527], [0.3536, 0.8527, 0.4401], [0.6464, 0.1473, 0.5599]]
}